Entry 1:
Material: Mo4I
Method: DFT, GGA-PBE
State: relaxed

Raw total energy = -32.69 eV per cell
Raw formation energy = 2.437 eV/atom

CIF file:
```
data_Mo4I
_cell_length_a 4.8011
_cell_length_b 4.8011
_cell_length_c 4.8011
_cell_angle_alpha 90.00
_cell_angle_beta 90.00
_cell_angle_gamma 90.00
_symmetry_space_group_name_H-M 'P m -3 m'
_symmetry_Int_Tables_number 221
_symmetry_space_group_name_Hall '-P 4 2 3'
loop_
_atom_site_label
_atom_site_type_symbol
_atom_site_fract_x
_atom_site_fract_y
_atom_site_fract_z
_atom_site_occupancy
Mo1 Mo 0.0000 0.0000 0.0000 1
Mo2 Mo 0.0000 0.5000 0.5000 1
I1 I 0.5000 0.5000 0.5000 1
```

***

Entry 2:
Material: Mo3I
Method: DFT, GGA-PBE
State: relaxed

Raw total energy = -120.67 eV per cell
Raw formation energy = 0.969 eV/atom

CIF file:
```
data_Mo3I
_cell_length_a 6.5240
_cell_length_b 6.5240
_cell_length_c 6.5240
_cell_angle_alpha 90.00
_cell_angle_beta 90.00
_cell_angle_gamma 90.00
_symmetry_space_group_name_H-M 'F m -3 m'
_symmetry_Int_Tables_number 225
_symmetry_space_group_name_Hall '-F 4 2 3'
loop_
_atom_site_label
_atom_site_type_symbol
_atom_site_fract_x
_atom_site_fract_y
_atom_site_fract_z
_atom_site_occupancy
Mo1 Mo 0.0000 0.0000 0.0000 1
Mo2 Mo 0.2500 0.2500 0.2500 1
I1 I 0.0000 0.0000 0.5000 1
```

***

Entry 3:
Material: MoIN
Method: DFT, GGA-PBE
State: relaxed

Raw total energy = -42.46 eV per cell
Raw formation energy = -0.174 eV/atom

CIF file:
```
data_MoIN
_cell_length_a 4.2619
_cell_length_b 3.4747
_cell_length_c 9.2534
_cell_angle_alpha 90.00
_cell_angle_beta 90.46
_cell_angle_gamma 90.00
_symmetry_space_group_name_H-M 'P 1 21/m 1'
_symmetry_Int_Tables_number 11
loop_
_symmetry_equiv_pos_as_xyz
'x,y,z'
'-x,-y,-z'
'-x,y+1/2,-z'
'x,-y+1/2,z'
loop_
_atom_site_label
_atom_site_type_symbol
_atom_site_fract_x
_atom_site_fract_y
_atom_site_fract_z
_atom_site_occupancy
Mo1 Mo 0.2126 0.2500 0.0555 1
I1 I 0.2478 0.7500 0.3020 1
N1 N 0.2789 0.7500 0.9436 1
```